Dy3CrO7 | PBE+U | optimized geometry

Properties
Mass density = 7.6 g/cm3
DFT total energy = -7.9515 eV/atom

Cell: 6.4008 6.4008 7.2925 Å, 90.00 90.00 108.10°
Each line ends with the local moment (μB).
Atoms (fractional coordinates):
O: 0.7078 0.9577 0.5434  -0.08
O: 0.0423 0.2922 0.9566  -0.08
Dy: 0.9979 0.5412 0.7395  0.01
Cr: 0.0061 0.0061 0.0000  1.34
O: 0.9374 0.0626 0.2500  -0.06
O: 0.2922 0.0423 0.0434  -0.08
O: 0.6810 0.9246 0.9773  -0.04
Dy: 0.0021 0.4588 0.2395  0.01
O: 0.3614 0.6386 0.7500  -0.02
O: 0.0754 0.3190 0.5227  -0.04
O: 0.9246 0.6810 0.0227  -0.04
O: 0.6302 0.3698 0.7500  -0.01
Dy: 0.4518 0.4518 0.5000  0.00
O: 0.0626 0.9374 0.7500  -0.06
O: 0.3190 0.0754 0.4773  -0.04
Dy: 0.5412 0.9979 0.2605  0.01
O: 0.6386 0.3614 0.2500  -0.02
Cr: 0.9939 0.9939 0.5000  1.34
O: 0.9577 0.7078 0.4566  -0.08
Dy: 0.5482 0.5482 0.0000  0.00
Dy: 0.4588 0.0021 0.7605  0.01
O: 0.3698 0.6302 0.2500  -0.01